GGA+U CrBiIO4, relaxed; crystal system = monoclinic; total DFT energy (no corrections) = -0.209 hartree per atom
1.0
5.463 -3.660 0.000
5.463 3.660 0.000
-2.095 0.000 7.057
Cr Bi I O
2 2 2 8
direct
0.140 0.140 0.272 Cr
0.860 0.860 0.728 Cr
0.278 0.278 0.832 Bi
0.722 0.722 0.168 Bi
0.471 0.471 0.244 I
0.529 0.529 0.756 I
0.003 0.371 0.170 O
0.015 0.015 0.766 O
0.212 0.212 0.506 O
0.371 0.003 0.170 O
0.629 0.997 0.830 O
0.788 0.788 0.494 O
0.985 0.985 0.234 O
0.997 0.629 0.830 O